## Pr4Dy10Mg (PBE-GGA)

Data for an optimized crystal structure of Pr4Dy10Mg.

Calculated formation energy (eV/atom): 0.355

a = 8.751 Å, b = 8.751 Å, c = 8.751 Å
α = 111.36°, β = 111.36°, γ = 105.75°
Fractional positions:
Pr1 0.070 0.329 0.399
Pr2 0.329 0.930 0.258
Pr3 0.671 0.070 0.742
Pr4 0.930 0.671 0.601
Dy1 0.127 0.449 0.899
Dy2 0.228 0.127 0.678
Dy3 0.250 0.750 0.500
Dy4 0.449 0.550 0.322
Dy5 0.450 0.772 0.899
Dy6 0.550 0.228 0.101
Dy7 0.551 0.450 0.678
Dy8 0.750 0.250 0.500
Dy9 0.772 0.873 0.322
Dy10 0.873 0.551 0.101
Mg1 0.000 0.000 0.000

## Cs2SrNi3H12 (PBE-GGA)

Data for an optimized crystal structure of Cs2SrNi3H12.

a = 6.717 Å, b = 6.717 Å, c = 6.717 Å
α = 58.93°, β = 58.93°, γ = 58.93°
Fractional positions:
Cs1 0.110 0.110 0.110
Cs2 0.890 0.890 0.890
Sr1 0.500 0.500 0.500
Ni1 0.000 0.500 0.500
Ni2 0.500 0.000 0.500
Ni3 0.500 0.500 0.000
H1 0.068 0.604 0.604
H2 0.223 0.223 0.568
H3 0.223 0.568 0.223
H4 0.396 0.396 0.932
H5 0.396 0.932 0.396
H6 0.432 0.777 0.777
H7 0.568 0.223 0.223
H8 0.604 0.068 0.604
H9 0.604 0.604 0.068
H10 0.777 0.432 0.777
H11 0.777 0.777 0.432
H12 0.932 0.396 0.396

## Ca7SCl12 (PBE-GGA)

Data for an optimized crystal structure of Ca7SCl12.

Formation energy (no corrections) (kJ/mol of formula units): -4544

a = 8.980 Å, b = 8.980 Å, c = 8.980 Å
α = 107.12°, β = 107.12°, γ = 107.12°
Fractional positions:
Ca1 0.000 0.000 0.000
Ca2 0.152 0.373 0.475
Ca3 0.373 0.475 0.152
Ca4 0.475 0.152 0.373
Ca5 0.525 0.848 0.627
Ca6 0.627 0.525 0.848
Ca7 0.848 0.627 0.525
S1 0.500 0.500 0.500
Cl1 0.051 0.338 0.137
Cl2 0.137 0.051 0.338
Cl3 0.185 0.705 0.571
Cl4 0.295 0.429 0.815
Cl5 0.338 0.137 0.051
Cl6 0.429 0.815 0.295
Cl7 0.571 0.185 0.705
Cl8 0.662 0.863 0.949
Cl9 0.705 0.571 0.185
Cl10 0.815 0.295 0.429
Cl11 0.863 0.949 0.662
Cl12 0.949 0.662 0.863

One value per record, in order, for total moment: 0.00 0.00 0.01 μB per atom.
One value per record, in order, for final energy: -4.094 -3.547 -4.369 eV/atom.